(1)
Material: TiZnNF2
Method: DFT, PBE
State: optimized geometry

Output
For the uncorrected formation energy, the calculation gives -0.778 eV/atom. The total energy comes out at -5.026 eV/atom. The calculation puts the density of states at the Fermi level at 2.08 states/eV/f.u.

Structure (POSCAR):
```
TiZnNF2
1.0
3.752 0.000 0.000
0.000 3.752 0.000
0.000 0.000 4.386
Ti Zn N F
1 1 1 2
Direct
0.000 0.000 0.000 Ti
0.500 0.500 0.500 Zn
0.500 0.500 0.000 N
0.000 0.500 0.500 F
0.500 0.000 0.500 F
```

---

(2)
Material: Tl3NF
Method: DFT, PBE
State: optimized geometry

Output
For the uncorrected formation energy, the calculation gives 0.151 eV/atom. The total energy comes out at -3.308 eV/atom. The calculation puts the density of states at the Fermi level at 2.76 states/eV/f.u.

Structure (POSCAR):
```
Tl3NF
1.0
5.096 0.000 0.000
0.000 5.096 0.000
0.000 0.000 5.096
Tl N F
3 1 1
Direct
0.000 0.000 0.500 Tl
0.000 0.500 0.000 Tl
0.500 0.000 0.000 Tl
0.000 0.000 0.000 N
0.500 0.500 0.500 F
```

---

(3)
Material: TlN2F2
Method: DFT, PBE
State: optimized geometry

Output
For the uncorrected formation energy, the calculation gives 0.912 eV/atom. The total energy comes out at -3.640 eV/atom. The calculation puts the density of states at the Fermi level at 0.14 states/eV/f.u.

Structure (POSCAR):
```
TlN2F2
1.0
4.533 0.000 0.000
0.000 4.533 0.000
0.000 0.000 4.509
Tl N F
1 2 2
Direct
0.000 0.000 0.000 Tl
0.000 0.000 0.500 N
0.500 0.500 0.500 N
0.000 0.500 0.000 F
0.500 0.000 0.000 F
```

---

(4)
Material: TlN2F
Method: DFT, PBE
State: optimized geometry

Output
For the uncorrected formation energy, the calculation gives -0.818 eV/atom. The total energy comes out at -6.040 eV/atom. The calculation puts the density of states at the Fermi level at 0.00 states/eV/f.u.

Structure (POSCAR):
```
TlN2F
1.0
4.057 0.000 0.000
1.956 3.577 0.000
0.257 1.222 7.466
Tl N F
1 2 1
Direct
0.000 0.000 0.000 Tl
0.695 0.541 0.427 N
0.837 0.306 0.542 N
0.321 0.381 0.879 F
```

---

(5)
Material: TlN2F2
Method: DFT, PBE
State: optimized geometry

Output
For the uncorrected formation energy, the calculation gives 1.289 eV/atom. The total energy comes out at -3.262 eV/atom. The calculation puts the density of states at the Fermi level at 2.66 states/eV/f.u.

Structure (POSCAR):
```
TlN2F2
1.0
3.877 0.000 0.000
0.000 3.877 0.000
0.000 0.000 5.702
Tl N F
1 2 2
Direct
0.000 0.000 0.000 Tl
0.000 0.500 0.500 N
0.500 0.000 0.500 N
0.500 0.500 0.000 F
0.500 0.500 0.500 F
```

---

(6)
Material: Tl2NF
Method: DFT, PBE
State: optimized geometry

Output
For the uncorrected formation energy, the calculation gives 0.123 eV/atom. The total energy comes out at -3.610 eV/atom. The calculation puts the density of states at the Fermi level at 1.84 states/eV/f.u.

Structure (POSCAR):
```
Tl2NF
1.0
6.499 0.000 0.000
0.000 6.499 0.000
0.000 0.000 6.499
Tl N F
8 4 4
Direct
0.250 0.250 0.250 Tl
0.250 0.250 0.750 Tl
0.250 0.750 0.250 Tl
0.250 0.750 0.750 Tl
0.750 0.250 0.250 Tl
0.750 0.250 0.750 Tl
0.750 0.750 0.250 Tl
0.750 0.750 0.750 Tl
0.000 0.000 0.000 N
0.000 0.500 0.500 N
0.500 0.000 0.500 N
0.500 0.500 0.000 N
0.000 0.000 0.500 F
0.000 0.500 0.000 F
0.500 0.000 0.000 F
0.500 0.500 0.500 F
```

---

(7)
Material: Tl2NF
Method: DFT, PBE
State: optimized geometry

Output
For the uncorrected formation energy, the calculation gives -0.104 eV/atom. The total energy comes out at -3.837 eV/atom. The calculation puts the density of states at the Fermi level at 2.69 states/eV/f.u.

Structure (POSCAR):
```
Tl2NF
1.0
5.628 0.000 0.000
0.000 5.628 0.000
0.000 0.000 11.571
Tl N F
8 4 4
Direct
0.213 0.250 0.125 Tl
0.250 0.713 0.375 Tl
0.250 0.787 0.875 Tl
0.287 0.250 0.625 Tl
0.713 0.750 0.625 Tl
0.750 0.213 0.875 Tl
0.750 0.287 0.375 Tl
0.787 0.750 0.125 Tl
0.000 0.000 0.000 N
0.000 0.500 0.250 N
0.500 0.000 0.750 N
0.500 0.500 0.500 N
0.000 0.000 0.500 F
0.000 0.500 0.750 F
0.500 0.000 0.250 F
0.500 0.500 0.000 F
```

---

(8)
Material: TlN3F
Method: DFT, PBE
State: optimized geometry

Output
For the uncorrected formation energy, the calculation gives 2.695 eV/atom. The total energy comes out at -3.148 eV/atom. The calculation puts the density of states at the Fermi level at 2.92 states/eV/f.u.

Structure (POSCAR):
```
TlN3F
1.0
3.868 0.000 0.000
0.000 3.868 0.000
0.000 0.000 3.868
Tl N F
1 3 1
Direct
0.000 0.000 0.000 Tl
0.000 0.500 0.500 N
0.500 0.000 0.500 N
0.500 0.500 0.000 N
0.500 0.500 0.500 F
```

---

(9)
Material: TlNF3
Method: DFT, PBE
State: optimized geometry

Output
For the uncorrected formation energy, the calculation gives -0.370 eV/atom. The total energy comes out at -3.631 eV/atom. The calculation puts the density of states at the Fermi level at 3.34 states/eV/f.u.

Structure (POSCAR):
```
TlNF3
1.0
4.389 0.000 0.000
0.000 4.389 0.000
0.000 0.000 4.389
Tl N F
1 1 3
Direct
0.000 0.000 0.000 Tl
0.500 0.500 0.500 N
0.000 0.000 0.500 F
0.000 0.500 0.000 F
0.500 0.000 0.000 F
```

---

(10)
Material: TlNF3
Method: DFT, PBE
State: optimized geometry

Output
For the uncorrected formation energy, the calculation gives -0.372 eV/atom. The total energy comes out at -3.633 eV/atom.

Structure (POSCAR):
```
TlNF3
1.0
4.386 0.000 0.000
-0.482 6.634 0.000
-0.024 -0.024 6.965
Tl N F
2 2 6
Direct
0.002 0.007 0.250 Tl
0.998 0.993 0.750 Tl
0.459 0.511 0.250 N
0.541 0.489 0.750 N
0.020 0.207 0.505 F
0.020 0.207 0.996 F
0.498 0.987 0.750 F
0.502 0.013 0.250 F
0.980 0.793 0.004 F
0.980 0.793 0.495 F
```

---

(11)
Material: TlN2F
Method: DFT, PBE
State: optimized geometry

Output
For the uncorrected formation energy, the calculation gives 1.579 eV/atom. The total energy comes out at -3.643 eV/atom. The calculation puts the density of states at the Fermi level at 2.22 states/eV/f.u.

Structure (POSCAR):
```
TlN2F
1.0
4.145 0.000 0.000
-2.072 3.589 0.000
0.000 0.000 12.502
Tl N F
3 6 3
Direct
0.000 0.000 0.000 Tl
0.333 0.667 0.667 Tl
0.667 0.333 0.333 Tl
0.000 0.000 0.343 N
0.000 0.000 0.657 N
0.333 0.667 0.010 N
0.333 0.667 0.323 N
0.667 0.333 0.677 N
0.667 0.333 0.990 N
0.000 0.000 0.500 F
0.333 0.667 0.167 F
0.667 0.333 0.833 F
```

---

(12)
Material: TlNF
Method: DFT, PBE
State: optimized geometry

Output
For the uncorrected formation energy, the calculation gives -1.163 eV/atom. The total energy comes out at -5.351 eV/atom. The calculation puts the density of states at the Fermi level at 0.00 states/eV/f.u.

Structure (POSCAR):
```
TlNF
1.0
10.955 0.000 0.000
0.000 3.831 0.000
-0.340 0.000 7.606
Tl N F
4 4 4
Direct
0.143 0.246 0.135 Tl
0.143 0.254 0.635 Tl
0.857 0.746 0.365 Tl
0.857 0.754 0.865 Tl
0.466 0.543 0.947 N
0.466 0.957 0.447 N
0.534 0.043 0.553 N
0.534 0.457 0.053 N
0.084 0.750 0.381 F
0.084 0.750 0.881 F
0.916 0.250 0.119 F
0.916 0.250 0.619 F
```